Entry 1:
The following is a PBE calculation of an optimized crystal structure of Ba2SrLiZn, from the Alexandria database.

Summary:
Polymorph energy (0 for the lowest one) (meV/atom): 31
DOS at the Fermi energy (states/eV per cell): 4.04

Unit cell a=6.4443 b=6.4443 c=6.2782 alpha=90.00 beta=90.00 gamma=90.00
Last column: nearest neighbours and their distance in Å.
Space group P4/mmm (No. 123)
Unique sites:
Ba: 0.0000 0.5000 0.0000 x2  2 Zn 3.22
Sr: 0.0000 0.0000 0.5000 x1  2 Zn 3.14
Li: 0.5000 0.5000 0.5000 x1  8 Ba 4.50, 4 Sr 4.56
Zn: 0.0000 0.0000 0.0000 x1  2 Sr 3.14, 4 Ba 3.22

---

Entry 2:
The following is a PBE calculation of an optimized crystal structure of BaLiTa2, from the Alexandria database.

Summary:
Polymorph energy (0 for the lowest one) (meV/atom): 486
DOS at the Fermi energy (states/eV per cell): 10.66

Unit cell a=4.1034 b=4.1034 c=10.8144 alpha=90.00 beta=90.00 gamma=90.00
Last column: nearest neighbours and their distance in Å.
Space group I4/mmm (No. 139)
Unique sites:
Ba: 0.0000 0.0000 0.0000 x2  4 Li 2.90
Li: 0.0000 0.0000 0.5000 x2  4 Ba 2.90
Ta: 0.0000 0.5000 0.2500 x4  4 Ta 2.90

---

Entry 3:
The following is a PBE calculation of an optimized crystal structure of BaLiTa, from the Alexandria database.

Summary:
Polymorph energy (0 for the lowest one) (meV/atom): 642
DOS at the Fermi energy (states/eV per cell): 4.10

Unit cell a=5.4394 b=5.4394 c=2.9748 alpha=90.00 beta=90.00 gamma=120.00
Last column: nearest neighbours and their distance in Å.
Space group P3m1 (No. 156)
Unique sites:
Ba: 0.0000 0.0000 0.0000 x1  2 Ba 2.97, 3 Li 3.17
Li: 0.6667 0.3333 0.1364 x1  2 Li 2.97, 3 Ba 3.17
Ta: 0.3333 0.6667 0.5278 x1  2 Ta 2.97

---

Entry 4:
The following is a PBE calculation of an optimized crystal structure of BaLiTa2, from the Alexandria database.

Summary:
Polymorph energy (0 for the lowest one) (meV/atom): 203
DOS at the Fermi energy (states/eV per cell): 8.52

Unit cell a=9.5691 b=3.0788 c=6.8566 alpha=90.00 beta=95.17 gamma=90.00
Last column: nearest neighbours and their distance in Å.
Space group Cm (No. 8)
Unique sites:
Ba: 0.0000 0.0000 0.0000 x2  2 Ba 3.08, 3 Li 3.23-3.44
Li: 0.2410 0.0000 0.6984 x2  5 Ta 2.82-3.12, 2 Li 3.08
Ta: 0.0050 0.5000 0.4635 x2  3 Ta 2.68-2.77
Ta: 0.2690 0.5000 0.3603 x2  3 Ta 2.68-2.77, 2 Li 2.82

---

Entry 5:
The following is a PBE calculation of an optimized crystal structure of Ba2LiTa, from the Alexandria database.

Summary:
Polymorph energy (0 for the lowest one) (meV/atom): 173
DOS at the Fermi energy (states/eV per cell): 18.89

Unit cell a=3.4769 b=3.4769 c=35.7435 alpha=90.00 beta=90.00 gamma=120.00
Last column: nearest neighbours and their distance in Å.
Space group R3m (No. 160, hexagonal axes)
Unique sites:
Ba: 0.0000 0.0000 0.0000 x3  3 Ta 3.44, 6 Ba 3.48
Ba: 0.0000 0.0000 0.2230 x3  6 Ba 3.48, 3 Li 3.61
Li: 0.0000 0.0000 0.4725 x3  3 Ta 2.96
Ta: 0.0000 0.0000 0.7449 x3  3 Li 2.96

---

Entry 6:
The following is a PBE calculation of an optimized crystal structure of BaLi2Ta, from the Alexandria database.

Summary:
Polymorph energy (0 for the lowest one) (meV/atom): 193
DOS at the Fermi energy (states/eV per cell): 5.16

Unit cell a=5.3894 b=5.3894 c=3.1101 alpha=90.00 beta=90.00 gamma=90.00
Last column: nearest neighbours and their distance in Å.
Space group P4/mmm (No. 123)
Unique sites:
Ba: 0.0000 0.0000 0.0000 x1  2 Ba 3.11, 8 Li 3.11
Li: 0.0000 0.5000 0.5000 x2  2 Li 3.11, 4 Ba 3.11, 4 Ta 3.11
Ta: 0.5000 0.5000 0.0000 x1  2 Ta 3.11, 8 Li 3.11

---

Number 1: total energy -1.6703 eV/atom, formation energy from the elements 0.07 eV per atom. Number 2: total energy -5.8389 eV/atom, formation energy from the elements 1.05 eV per atom. Number 3: total energy -4.1595 eV/atom, formation energy from the elements 1.07 eV per atom. Number 4: total energy -6.1218 eV/atom, formation energy from the elements 0.76 eV per atom. Number 5: total energy -3.4480 eV/atom, formation energy from the elements 0.95 eV per atom. Number 6: total energy -3.5435 eV/atom, formation energy from the elements 0.86 eV per atom.